# TlSb2

An optimized crystal structure of TlSb2 (GGA-PBE, Alexandria via LeMat-Bulk).

Lattice parameters (Å, degrees): 5.433 5.433 6.712 90.00 90.00 120.00
Positions (direct):
Tl: 0.667 0.333 0.250
Sb: 0.000 0.000 0.500
Sb: 0.000 0.000 0.000
Sb: 0.667 0.333 0.750
Sb: 0.333 0.667 0.250
Tl: 0.333 0.667 0.750

M_tot = 0.00 μB/cell
Crystal system = hexagonal
Energy relative to the elements, uncorrected = 232 meV/atom